# ReTe2Se2S | the Open Quantum Materials Database | GGA-PBE | relaxed
data_ReTe2Se2S
_cell_length_a 6.754
_cell_length_b 7.338
_cell_length_c 7.864
_cell_angle_alpha 102.92
_cell_angle_beta 112.00
_cell_angle_gamma 102.91
_symmetry_space_group_name_H-M 'P 1'
_symmetry_Int_Tables_number 1
_symmetry_space_group_name_Hall 'P 1'
loop_
_atom_site_label
_atom_site_type_symbol
_atom_site_fract_x
_atom_site_fract_y
_atom_site_fract_z
Re1 Re 0.734 0.496 0.023
Re2 Re 0.266 0.504 0.977
S1 S 0.000 0.332 0.086
S2 S 0.000 0.668 0.914
Se1 Se 0.434 0.238 0.045
Se2 Se 0.431 0.737 0.333
Se3 Se 0.569 0.263 0.667
Se4 Se 0.566 0.762 0.955
Te1 Te 0.070 0.855 0.267
Te2 Te 0.772 0.511 0.389
Te3 Te 0.228 0.489 0.611
Te4 Te 0.930 0.145 0.733
# V = 27.6 A^3/atom
# Excess energy over the best structure of this formula in the dataset = 77 meV/atom

---

# ReTe2Se2S | the Open Quantum Materials Database | GGA-PBE | relaxed
data_ReTe2Se2S
_cell_length_a 6.964
_cell_length_b 7.069
_cell_length_c 7.912
_cell_angle_alpha 63.59
_cell_angle_beta 74.73
_cell_angle_gamma 72.39
_symmetry_space_group_name_H-M 'P 1'
_symmetry_Int_Tables_number 1
_symmetry_space_group_name_Hall 'P 1'
loop_
_atom_site_label
_atom_site_type_symbol
_atom_site_fract_x
_atom_site_fract_y
_atom_site_fract_z
Re1 Re 0.503 0.702 0.498
Re2 Re 0.497 0.298 0.502
S1 S 0.290 0.636 0.358
S2 S 0.710 0.364 0.642
Se1 Se 0.745 0.811 0.199
Se2 Se 0.300 0.111 0.390
Se3 Se 0.700 0.889 0.610
Se4 Se 0.255 0.189 0.801
Te1 Te 0.502 0.232 0.021
Te2 Te 0.767 0.354 0.169
Te3 Te 0.233 0.646 0.831
Te4 Te 0.498 0.768 0.979
# V = 27.4 A^3/atom
# Excess energy over the best structure of this formula in the dataset = 35 meV/atom

---

# ReTe2Se2S | the Open Quantum Materials Database | GGA-PBE | relaxed
data_ReTe2Se2S
_cell_length_a 6.869
_cell_length_b 7.211
_cell_length_c 7.930
_cell_angle_alpha 116.99
_cell_angle_beta 90.93
_cell_angle_gamma 107.82
_symmetry_space_group_name_H-M 'P 1'
_symmetry_Int_Tables_number 1
_symmetry_space_group_name_Hall 'P 1'
loop_
_atom_site_label
_atom_site_type_symbol
_atom_site_fract_x
_atom_site_fract_y
_atom_site_fract_z
Re1 Re 0.500 0.196 0.496
Re2 Re 0.500 0.804 0.504
S1 S 0.297 0.013 0.187
S2 S 0.703 0.987 0.813
Se1 Se 0.272 0.540 0.172
Se2 Se 0.753 0.010 0.375
Se3 Se 0.247 0.990 0.625
Se4 Se 0.728 0.460 0.828
Te1 Te 0.496 0.254 0.015
Te2 Te 0.737 0.524 0.412
Te3 Te 0.263 0.476 0.588
Te4 Te 0.504 0.746 0.985
# V = 27.3 A^3/atom
# Excess energy over the best structure of this formula in the dataset = 32 meV/atom

---

# Re2TeSeS2 | the Open Quantum Materials Database | GGA-PBE | relaxed
data_Re2TeSeS2
_cell_length_a 6.618
_cell_length_b 6.815
_cell_length_c 7.050
_cell_angle_alpha 91.70
_cell_angle_beta 102.60
_cell_angle_gamma 118.99
_symmetry_space_group_name_H-M 'P 1'
_symmetry_Int_Tables_number 1
_symmetry_space_group_name_Hall 'P 1'
loop_
_atom_site_label
_atom_site_type_symbol
_atom_site_fract_x
_atom_site_fract_y
_atom_site_fract_z
Re1 Re 0.066 0.813 0.492
Re2 Re 0.488 0.797 0.497
Re3 Re 0.512 0.203 0.503
Re4 Re 0.934 0.187 0.508
S1 S 0.746 0.856 0.282
S2 S 0.788 0.399 0.315
S3 S 0.212 0.601 0.685
S4 S 0.254 0.144 0.718
Se1 Se 0.264 0.889 0.215
Se2 Se 0.736 0.111 0.785
Te1 Te 0.249 0.368 0.278
Te2 Te 0.751 0.632 0.722
# V = 22.3 A^3/atom
# Excess energy over the best structure of this formula in the dataset = 17 meV/atom

---

# ReTe2Se2S | the Open Quantum Materials Database | GGA-PBE | relaxed
data_ReTe2Se2S
_cell_length_a 6.902
_cell_length_b 7.081
_cell_length_c 7.949
_cell_angle_alpha 116.19
_cell_angle_beta 90.84
_cell_angle_gamma 108.56
_symmetry_space_group_name_H-M 'P 1'
_symmetry_Int_Tables_number 1
_symmetry_space_group_name_Hall 'P 1'
loop_
_atom_site_label
_atom_site_type_symbol
_atom_site_fract_x
_atom_site_fract_y
_atom_site_fract_z
Re1 Re 0.497 0.204 0.494
Re2 Re 0.503 0.796 0.506
S1 S 0.283 0.018 0.200
S2 S 0.717 0.982 0.800
Se1 Se 0.741 0.009 0.366
Se2 Se 0.706 0.513 0.403
Se3 Se 0.294 0.487 0.597
Se4 Se 0.259 0.991 0.634
Te1 Te 0.499 0.251 0.021
Te2 Te 0.234 0.513 0.160
Te3 Te 0.766 0.487 0.840
Te4 Te 0.501 0.749 0.979
# V = 27.1 A^3/atom
# Excess energy over the best structure of this formula in the dataset = 52 meV/atom

---

# ReTe2Se2S | the Open Quantum Materials Database | GGA-PBE | relaxed
data_ReTe2Se2S
_cell_length_a 7.006
_cell_length_b 7.049
_cell_length_c 7.987
_cell_angle_alpha 63.83
_cell_angle_beta 72.38
_cell_angle_gamma 71.47
_symmetry_space_group_name_H-M 'P 1'
_symmetry_Int_Tables_number 1
_symmetry_space_group_name_Hall 'P 1'
loop_
_atom_site_label
_atom_site_type_symbol
_atom_site_fract_x
_atom_site_fract_y
_atom_site_fract_z
Re1 Re 0.495 0.708 0.004
Re2 Re 0.505 0.292 0.996
S1 S 0.275 0.655 0.291
S2 S 0.725 0.345 0.709
Se1 Se 0.698 0.881 0.102
Se2 Se 0.740 0.367 0.130
Se3 Se 0.260 0.633 0.870
Se4 Se 0.302 0.119 0.898
Te1 Te 0.242 0.184 0.351
Te2 Te 0.485 0.750 0.478
Te3 Te 0.515 0.250 0.522
Te4 Te 0.758 0.816 0.649
# V = 27.5 A^3/atom
# Excess energy over the best structure of this formula in the dataset = 53 meV/atom